Entry 1:
Compound: TaCdP2
Source: Alexandria
Functional: GGA-PBE
Structure: relaxed

Cell lengths 3.3202, 3.3020, 7.0589 Å; angles 62.12, 90.00, 90.00 degrees
Sites, in units of the cell vectors:
Cd  0.5000  0.7500  0.7500
P  0.0000  0.9500  0.0500
P  0.0000  0.5500  0.4500
Ta  0.5000  0.2500  0.2500

Values from the calculation:
The calculation puts the magnetic moment at 0.000 μB/f.u. The value obtained for the total energy is -0.451 Ry/atom. The volume comes out at 68.4 Å³/cell. As for the density of states at the Fermi level: 1.2 states/eV per cell.



Entry 2:
Compound: CePaNiPt
Source: Alexandria
Functional: GGA-PBE
Structure: relaxed

Cell lengths 4.9037, 4.9037, 4.9037 Å; angles 60.00, 60.00, 60.00 degrees
Site moments in Bohr magnetons follow the coordinates.
Sites, in units of the cell vectors:
Ni  0.5000  0.5000  0.5000  -0.03
Pa  0.2500  0.2500  0.2500  0.47
Ce  0.7500  0.7500  0.7500  0.45
Pt  0.0000  0.0000  0.0000  -0.01

Values from the calculation:
The calculation puts the magnetic moment at 1.102 μB/f.u. The value obtained for the total energy is -0.536 Ry/atom. The volume comes out at 83.4 Å³/cell. As for the density of states at the Fermi level: 8.8 states/eV per cell.



Entry 3:
Compound: MnFe2H
Source: Alexandria
Functional: GGA-PBE
Structure: relaxed

Cell lengths 5.6192, 5.6192, 4.5338 Å; angles 51.71, 51.71, 90.00 degrees
Sites, in units of the cell vectors:
H  0.5000  0.5000  0.0000
H  0.2500  0.7500  0.5000
Mn  0.0000  0.0000  0.0000
Mn  0.7500  0.2500  0.5000
Fe  0.5248  0.1250  0.2500
Fe  0.2252  0.6250  0.2500
Fe  0.3750  0.4752  0.7500
Fe  0.8750  0.7748  0.7500

Values from the calculation:
The calculation puts the magnetic moment at 0.000 μB/f.u. The value obtained for the total energy is -0.519 Ry/atom. For the energy above the most stable polymorph in this dataset, the calculation gives 207 meV/atom. The volume comes out at 68.9 Å³/cell. As for the density of states at the Fermi level: 5.6 states/eV per cell.



Entry 4:
Compound: HfTi2Al
Source: Alexandria
Functional: GGA-PBE
Structure: relaxed

Cell lengths 3.0164, 3.0164, 9.5700 Å; angles 80.91, 80.91, 59.98 degrees
Sites, in units of the cell vectors:
Hf  0.5001  0.5001  0.5002
Ti  0.0807  0.0807  0.7569
Ti  0.2527  0.2527  0.2423
Al  0.6665  0.6665  0.0006

Values from the calculation:
The calculation puts the magnetic moment at 0.000 μB/f.u. The value obtained for the total energy is -0.545 Ry/atom. The volume comes out at 74.1 Å³/cell. As for the density of states at the Fermi level: 5.0 states/eV per cell.



Entry 5:
Compound: Mg3BiN
Source: Alexandria
Functional: GGA-PBE
Structure: relaxed

Cell lengths 8.2156, 8.2156, 5.8249 Å; angles 90.00, 90.00, 140.27 degrees
Site moments in Bohr magnetons follow the coordinates.
Sites, in units of the cell vectors:
Mg  0.0951  0.4151  0.2500  0.00
Mg  0.5849  0.9049  0.2500  -0.01
Mg  0.4151  0.0951  0.7500  -0.01
Mg  0.9049  0.5849  0.7500  0.00
Mg  0.0000  0.0000  0.0000  -0.01
Mg  0.0000  0.0000  0.5000  -0.01
Bi  0.1660  0.8340  0.2500  0.03
Bi  0.8340  0.1660  0.7500  0.03
N  0.4343  0.5657  0.2500  0.36
N  0.5657  0.4343  0.7500  0.35

Values from the calculation:
The calculation puts the magnetic moment at 0.492 μB/f.u. For the formation energy without anion corrections, the calculation gives 0.518 eV per atom. The value obtained for the total energy is -0.212 Ry/atom. The volume comes out at 251.3 Å³/cell. As for the density of states at the Fermi level: 4.9 states/eV per cell.



Entry 6:
Compound: La6Ni2N
Source: Alexandria
Functional: GGA-PBE
Structure: relaxed

Cell lengths 6.6270, 7.1934, 10.1937 Å; angles 90.00, 90.67, 90.00 degrees
Sites, in units of the cell vectors:
La  0.1330  0.0430  0.2647
La  0.1704  0.3122  0.5642
La  0.1815  0.3330  0.9335
La  0.3185  0.8330  0.5665
La  0.3296  0.8122  0.9358
La  0.3670  0.5430  0.2353
La  0.8670  0.9570  0.7353
La  0.8296  0.6878  0.4358
La  0.8185  0.6670  0.0665
La  0.6815  0.1670  0.4335
La  0.6704  0.1878  0.0642
La  0.6330  0.4570  0.7647
Ni  0.0568  0.6065  0.7487
Ni  0.4432  0.1065  0.7513
Ni  0.5568  0.8935  0.2487
Ni  0.9432  0.3935  0.2513
N  0.5000  0.5000  0.0000
N  0.0000  0.0000  0.5000

Values from the calculation:
The calculation puts the magnetic moment at 0.000 μB/f.u. For the formation energy without anion corrections, the calculation gives -0.461 eV per atom. The value obtained for the total energy is -0.438 Ry/atom. The volume comes out at 485.9 Å³/cell. As for the density of states at the Fermi level: 17.9 states/eV per cell.



Entry 7:
Compound: Cs3HoCl6
Source: Alexandria
Functional: GGA-PBE
Structure: relaxed

Cell lengths 8.3698, 8.3698, 8.3698 Å; angles 60.00, 60.00, 60.00 degrees
Sites, in units of the cell vectors:
Cs  0.2500  0.2500  0.2500
Cs  0.7500  0.7500  0.7500
Cs  0.5000  0.5000  0.5000
Ho  0.0000  0.0000  0.0000
Cl  0.7778  0.2222  0.2222
Cl  0.2222  0.7778  0.7778
Cl  0.2222  0.7778  0.2222
Cl  0.7778  0.2222  0.7778
Cl  0.2222  0.2222  0.7778
Cl  0.7778  0.7778  0.2222

Values from the calculation:
The calculation puts the magnetic moment at 0.000 μB/f.u. For the formation energy without anion corrections, the calculation gives -2.131 eV per atom. The value obtained for the total energy is -0.291 Ry/atom. For the energy above the most stable polymorph in this dataset, the calculation gives 39 meV/atom. The volume comes out at 414.6 Å³/cell. As for the density of states at the Fermi level: 0.0 states/eV per cell.



Entry 8:
Compound: SrTl2ZnC
Source: Alexandria
Functional: GGA-PBE
Structure: relaxed

Cell lengths 5.8650, 3.8045, 5.8650 Å; angles 90.00, 90.00, 90.00 degrees
Sites, in units of the cell vectors:
C  0.0000  0.5000  0.0000
Sr  0.5000  0.5000  0.5000
Tl  0.0000  0.0000  0.5000
Tl  0.5000  0.0000  0.0000
Zn  0.0000  0.0000  0.0000

Values from the calculation:
The calculation puts the magnetic moment at 0.000 μB/f.u. The value obtained for the total energy is -0.202 Ry/atom. The volume comes out at 130.9 Å³/cell. As for the density of states at the Fermi level: 1.2 states/eV per cell.



Entry 9:
Compound: HfCdNi2
Source: Alexandria
Functional: GGA-PBE
Structure: relaxed

Cell lengths 3.2023, 3.2023, 6.1981 Å; angles 90.00, 90.00, 90.00 degrees
Sites, in units of the cell vectors:
Ni  0.0000  0.0000  0.7710
Ni  0.0000  0.0000  0.2290
Hf  0.5000  0.5000  0.0000
Cd  0.5000  0.5000  0.5000

Values from the calculation:
The calculation puts the magnetic moment at 0.000 μB/f.u. The value obtained for the total energy is -0.433 Ry/atom. The volume comes out at 63.6 Å³/cell. As for the density of states at the Fermi level: 3.0 states/eV per cell.



Entry 10:
Compound: NbCuAs2Br
Source: Alexandria
Functional: GGA-PBE
Structure: relaxed

Cell lengths 5.0080, 5.0080, 5.2250 Å; angles 90.00, 90.00, 90.00 degrees
Sites, in units of the cell vectors:
Nb  0.0000  0.0000  0.0000
Cu  0.5000  0.5000  0.5000
As  0.0000  0.5000  0.0000
As  0.5000  0.0000  0.0000
Br  0.0000  0.0000  0.5000

Values from the calculation:
The calculation puts the magnetic moment at 0.000 μB/f.u. For the formation energy without anion corrections, the calculation gives 0.501 eV per atom. The value obtained for the total energy is -0.333 Ry/atom. For the energy above the most stable polymorph in this dataset, the calculation gives 0 meV/atom. The volume comes out at 131.0 Å³/cell. As for the density of states at the Fermi level: 4.4 states/eV per cell.